# AlGaBi | the Alexandria database | GGA-PBE | optimized geometry
# Offset from the most stable computed form in eV/f.u.: 0.023
# ΔH_f (0 K) in eV/atom: 0.107
data_AlGaBi
_cell_length_a 4.2239
_cell_length_b 4.1748
_cell_length_c 8.2926
_cell_angle_alpha 90.00
_cell_angle_beta 101.79
_cell_angle_gamma 90.00
_symmetry_space_group_name_H-M 'P 1 m 1'
_symmetry_Int_Tables_number 6
_symmetry_space_group_name_Hall 'P -2y'
loop_
_atom_site_label
_atom_site_type_symbol
_atom_site_fract_x
_atom_site_fract_y
_atom_site_fract_z
Al1 Al 0.0000 0.0000 0.0000
Al2 Al 0.4755 0.5000 0.0070
Ga1 Ga 0.3843 0.0000 0.7574
Ga2 Ga 0.8603 0.5000 0.7708
Bi1 Bi 0.2160 0.5000 0.4920
Bi2 Bi 0.6266 0.0000 0.2701

# NiSbP2 | the Alexandria database | GGA-PBE | optimized geometry
# ΔE_f (raw) in kJ/mol of formula units: 206
data_NiSbP2
_cell_length_a 4.3225
_cell_length_b 4.3225
_cell_length_c 6.9655
_cell_angle_alpha 90.00
_cell_angle_beta 90.00
_cell_angle_gamma 90.00
_symmetry_space_group_name_H-M 'I -4 m 2'
_symmetry_Int_Tables_number 119
_symmetry_space_group_name_Hall 'I -4 -2'
loop_
_atom_site_label
_atom_site_type_symbol
_atom_site_fract_x
_atom_site_fract_y
_atom_site_fract_z
Ni1 Ni 0.0000 0.0000 0.0000
Sb1 Sb 0.0000 0.5000 0.2500
P1 P 0.0000 0.0000 0.5000
P2 P 0.0000 0.5000 0.7500

# TaTeBr | the Alexandria database | GGA-PBE | optimized geometry
# ΔE_f (raw) in kJ/mol of formula units: 16
# Offset from the most stable computed form in eV/f.u.: 1.186
data_TaTeBr
_cell_length_a 5.1538
_cell_length_b 4.8179
_cell_length_c 7.8830
_cell_angle_alpha 90.00
_cell_angle_beta 90.00
_cell_angle_gamma 90.00
_symmetry_space_group_name_H-M 'A m m 2'
_symmetry_Int_Tables_number 38
_symmetry_space_group_name_Hall 'A 2 -2'
loop_
_atom_site_label
_atom_site_type_symbol
_atom_site_fract_x
_atom_site_fract_y
_atom_site_fract_z
Ta1 Ta 0.0000 0.0000 0.0000
Te1 Te 0.0000 0.0000 0.3408
Br1 Br 0.5000 0.0000 0.9924

Taking the records one at a time from the top gives E_tot values of -3.44; -4.65; -5.50 eV/atom.
Taking the records one at a time from the top gives calculated volume values of 23.86; 16.27; 32.62 Å³/atom.
Taking the records one at a time from the top gives ρ values of 7.092; 6.186; 6.591 g cm⁻³.